An optimized crystal structure of BaTe3Rh. Source: the Alexandria database, functional GGA-PBE.

Unit cell a=6.472 b=6.472 c=6.472 alpha=90.00 beta=90.00 gamma=90.00
Sites, in units of the cell vectors:
Te (0.000, 0.000, 0.500)
Te (0.500, 0.000, 0.000)
Te (0.000, 0.500, 0.000)
Ba (0.000, 0.000, 0.000)
Rh (0.500, 0.500, 0.500)

Energy above the most stable polymorph in this dataset, meV/atom: 1656
Formation energy from raw total energies, meV/atom: 1055


An optimized crystal structure of Nd5Sm2Ho12. Source: the Alexandria database, functional GGA-PBE.

Unit cell a=9.098 b=10.014 c=8.698 alpha=67.01 beta=90.00 gamma=117.02
Sites, in units of the cell vectors:
Nd (0.236, 0.472, 0.706)
Nd (0.717, 0.435, 0.769)
Nd (0.000, 0.000, 0.500)
Nd (0.764, 0.528, 0.294)
Nd (0.283, 0.565, 0.231)
Ho (0.565, 0.130, 0.282)
Ho (0.955, 0.910, 0.183)
Ho (0.843, 0.250, 0.547)
Ho (0.045, 0.090, 0.817)
Ho (0.435, 0.870, 0.718)
Ho (0.962, 0.291, 0.092)
Ho (0.594, 0.750, 0.453)
Ho (0.406, 0.250, 0.547)
Ho (0.157, 0.750, 0.453)
Ho (0.329, 0.291, 0.092)
Ho (0.671, 0.709, 0.908)
Ho (0.038, 0.709, 0.908)
Sm (0.672, 0.000, 0.000)
Sm (0.328, 0.000, 0.000)

Energy above the most stable polymorph in this dataset, meV/atom: 157
ΔE_f, eV/atom: 0.2193


An optimized crystal structure of BAsP2Cl. Source: the Alexandria database, functional GGA-PBE.

Unit cell a=4.753 b=4.753 c=5.088 alpha=90.00 beta=90.00 gamma=90.00
Sites, in units of the cell vectors:
P (0.000, 0.500, 0.000)
P (0.500, 0.000, 0.000)
B (0.500, 0.500, 0.500)
As (0.000, 0.000, 0.000)
Cl (0.000, 0.000, 0.500)

Energy above the most stable polymorph in this dataset, meV/atom: 1672
Formation energy from raw total energies, meV/atom: 1573


An optimized crystal structure of Na3Ho3ThTe8. Source: the Alexandria database, functional GGA-PBE.

Unit cell a=8.846 b=8.846 c=9.151 alpha=118.91 beta=90.00 gamma=120.00
Sites, in units of the cell vectors:
Te (0.263, 0.015, 0.267)
Te (0.737, 0.985, 0.733)
Te (0.248, 0.496, 0.733)
Te (0.744, 0.487, 0.731)
Te (0.248, 0.985, 0.733)
Te (0.752, 0.015, 0.267)
Te (0.256, 0.513, 0.269)
Te (0.752, 0.504, 0.267)
Th (0.000, 0.000, 0.500)
Ho (0.500, 0.500, 0.500)
Ho (0.000, 0.500, 0.500)
Ho (0.500, 0.000, 0.500)
Na (0.000, 0.000, 0.000)
Na (0.500, 0.500, 0.000)
Na (0.000, 0.500, 0.000)

Formation energy from raw total energies, meV/atom: -1279


An optimized crystal structure of La2Si3Tc6. Source: the Alexandria database, functional GGA-PBE.

Unit cell a=4.168 b=7.459 c=7.459 alpha=120.00 beta=90.00 gamma=90.00
Sites, in units of the cell vectors:
La (0.000, 0.333, 0.667)
La (0.000, 0.667, 0.333)
Tc (0.000, 0.195, 0.195)
Tc (0.000, 0.805, 0.000)
Tc (0.500, 0.747, 0.747)
Tc (0.000, 0.000, 0.805)
Tc (0.500, 0.253, 0.000)
Tc (0.500, 0.000, 0.253)
Si (0.500, 0.603, 0.000)
Si (0.500, 0.397, 0.397)
Si (0.500, 0.000, 0.603)

Formation energy from raw total energies, meV/atom: -323


An optimized crystal structure of RbMoPW2. Source: the Alexandria database, functional GGA-PBE.

Unit cell a=4.750 b=5.703 c=4.750 alpha=90.00 beta=90.00 gamma=90.00
Sites, in units of the cell vectors:
W (0.000, 0.000, 0.500)
W (0.500, 0.000, 0.000)
P (0.500, 0.500, 0.500)
Mo (0.000, 0.000, 0.000)
Rb (0.000, 0.500, 0.000)

ΔE_f, eV/atom: 2.3470


An optimized crystal structure of Ac12ErGe7. Source: the Alexandria database, functional GGA-PBE.

Unit cell a=9.883 b=9.883 c=9.883 alpha=107.43 beta=107.43 gamma=107.43
Sites, in units of the cell vectors:
Ge (0.336, 0.112, 0.034)
Ge (0.112, 0.034, 0.336)
Ge (0.966, 0.664, 0.888)
Ge (0.034, 0.336, 0.112)
Ge (0.664, 0.888, 0.966)
Ge (0.500, 0.500, 0.500)
Ge (0.888, 0.966, 0.664)
Ac (0.774, 0.925, 0.311)
Ac (0.151, 0.378, 0.458)
Ac (0.542, 0.849, 0.622)
Ac (0.458, 0.151, 0.378)
Ac (0.311, 0.774, 0.925)
Ac (0.622, 0.542, 0.849)
Ac (0.925, 0.311, 0.774)
Ac (0.378, 0.458, 0.151)
Ac (0.849, 0.622, 0.542)
Ac (0.075, 0.689, 0.226)
Ac (0.226, 0.075, 0.689)
Ac (0.689, 0.226, 0.075)
Er (0.000, 0.000, 0.000)

ΔE_f, eV/atom: -0.4040


An optimized crystal structure of CaBeRe2. Source: the Alexandria database, functional GGA-PBE.

Unit cell a=4.450 b=4.450 c=4.450 alpha=60.00 beta=60.00 gamma=60.00
Sites, in units of the cell vectors:
Ca (0.750, 0.750, 0.750)
Re (0.250, 0.250, 0.250)
Re (0.000, 0.000, 0.000)
Be (0.500, 0.500, 0.500)

ΔE_f, eV/atom: 0.4842


An optimized crystal structure of Ce2PuCuS5. Source: the Alexandria database, functional GGA-PBE.

Unit cell a=3.904 b=8.411 c=11.874 alpha=90.00 beta=90.00 gamma=103.42
Sites, in units of the cell vectors:
Pu (0.819, 0.638, 0.527)
Pu (0.181, 0.362, 0.027)
Cu (0.452, 0.905, 0.422)
Cu (0.548, 0.095, 0.922)
S (0.507, 0.014, 0.248)
S (0.014, 0.028, 0.014)
S (0.685, 0.370, 0.862)
S (0.654, 0.307, 0.520)
S (0.698, 0.397, 0.189)
S (0.986, 0.972, 0.514)
S (0.302, 0.603, 0.689)
S (0.493, 0.986, 0.748)
S (0.315, 0.630, 0.362)
S (0.346, 0.693, 0.020)
Ce (0.117, 0.235, 0.694)
Ce (0.117, 0.235, 0.347)
Ce (0.883, 0.765, 0.194)
Ce (0.883, 0.765, 0.847)

Formation energy from raw total energies, meV/atom: -1626


An optimized crystal structure of La6CeNd2Sm. Source: the Alexandria database, functional GGA-PBE.

Unit cell a=9.175 b=7.077 c=6.786 alpha=121.43 beta=104.17 gamma=90.00
Sites, in units of the cell vectors:
La (0.586, 0.376, 0.752)
La (0.199, 0.046, 0.624)
La (0.199, 0.578, 0.624)
La (0.801, 0.954, 0.376)
La (0.801, 0.422, 0.376)
La (0.414, 0.624, 0.248)
Nd (0.831, 0.917, 0.833)
Nd (0.169, 0.083, 0.167)
Ce (0.000, 0.500, 0.000)
Sm (0.500, 0.000, 0.000)

ΔE_f, eV/atom: 0.2006


An optimized crystal structure of Pr8NiP3Cl4. Source: the Alexandria database, functional GGA-PBE.

Unit cell a=8.332 b=8.506 c=8.332 alpha=119.33 beta=120.00 gamma=90.00
Sites, in units of the cell vectors:
P (0.500, 0.500, 0.500)
P (0.500, 0.500, 0.000)
P (0.000, 0.500, 0.500)
Ni (0.000, 0.500, 0.000)
Pr (0.765, 0.283, 0.018)
Pr (0.739, 0.718, 0.479)
Pr (0.236, 0.717, 0.471)
Pr (0.764, 0.283, 0.529)
Pr (0.746, 0.717, 0.982)
Pr (0.235, 0.717, 0.982)
Pr (0.261, 0.282, 0.521)
Pr (0.254, 0.283, 0.018)
Cl (0.500, 0.000, 0.500)
Cl (0.000, 0.000, 0.000)
Cl (0.500, 0.000, 0.000)
Cl (0.000, 0.000, 0.500)

Formation energy from raw total energies, meV/atom: -1413